[1]
An optimized crystal structure of MgMnGaRu. Source: the Alexandria database, functional PBE-GGA.

The density of states at the Fermi level comes out at 1.59 states/eV per cell. As for the volume: 14.5 Å³/atom. For the final energy, the calculation gives -5.879 eV per atom. The crystal system is cubic. The formation energy comes out at -0.112 eV per atom.

Unit cell a=4.3480 b=4.3480 c=4.3480 alpha=60.00 beta=60.00 gamma=60.00
Closest atoms and distances in Å follow each position.
Sites, in units of the cell vectors:
Ru: 0.5000 0.5000 0.5000  4 Mg 2.66, 4 Ga 2.66
Mg: 0.7500 0.7500 0.7500  4 Mn 2.66, 4 Ru 2.66
Mn: 0.0000 0.0000 0.0000  4 Mg 2.66, 4 Ga 2.66
Ga: 0.2500 0.2500 0.2500  4 Mn 2.66, 4 Ru 2.66

[2]
An optimized crystal structure of BaIrOs2. Source: the Alexandria database, functional PBE-GGA.

The density of states at the Fermi level comes out at 4.81 states/eV per cell. As for the volume: 18.5 Å³/atom. The energy above the most stable polymorph in this dataset is 3.19 eV/f.u. For the final energy, the calculation gives -7.232 eV per atom. The crystal system is trigonal. The formation energy comes out at 1.078 eV per atom.

Unit cell a=10.4654 b=10.4654 c=10.4654 alpha=15.81 beta=15.81 gamma=15.81
Closest atoms and distances in Å follow each position.
Sites, in units of the cell vectors:
Ir: 0.7500 0.7500 0.7500  6 Os 2.70, 6 Ir 2.88
Os: 0.0146 0.0146 0.0146  3 Ir 2.70, 6 Os 2.88
Os: 0.4854 0.4854 0.4854  3 Ir 2.70, 6 Os 2.88
Ba: 0.2500 0.2500 0.2500  6 Ba 2.88

[3]
An optimized crystal structure of YSbI2Cl. Source: the Alexandria database, functional PBE-GGA.

The density of states at the Fermi level comes out at 5.78 states/eV per cell. As for the volume: 35.0 Å³/atom. The value obtained for the uncorrected formation energy is 1.1 eV per formula unit. The energy above the most stable polymorph in this dataset is 3.18 eV/f.u. For the final energy, the calculation gives -2.881 eV per atom. The crystal system is tetragonal.

Unit cell a=5.7903 b=5.7903 c=5.2154 alpha=90.00 beta=90.00 gamma=90.00
Closest atoms and distances in Å follow each position.
Sites, in units of the cell vectors:
I: 0.0000 0.5000 0.0000  2 Cl 2.90
I: 0.5000 0.0000 0.0000  2 Cl 2.90
Sb: 0.0000 0.0000 0.5000  2 Cl 2.61
Y: 0.5000 0.5000 0.5000  8 I 3.90, 4 Sb 4.09
Cl: 0.0000 0.0000 0.0000  2 Sb 2.61, 4 I 2.90

[4]
An optimized crystal structure of TbTm2Sb. Source: the Alexandria database, functional PBE-GGA.

The density of states at the Fermi level comes out at 4.55 states/eV per cell. As for the volume: 31.9 Å³/atom. The value obtained for the uncorrected formation energy is -1.2 eV per formula unit. The energy above the most stable polymorph in this dataset is 0.99 eV/f.u. For the final energy, the calculation gives -4.718 eV per atom. The crystal system is trigonal.

Unit cell a=3.9618 b=3.9618 c=9.6548 alpha=78.16 beta=78.16 gamma=60.00
Closest atoms and distances in Å follow each position.
Sites, in units of the cell vectors:
Tb: 0.5006 0.5006 0.4982  6 Tm 3.58-3.61, 6 Tb 3.96
Tm: 0.0680 0.0680 0.7961  3 Sb 2.99
Tm: 0.2653 0.2653 0.2041  3 Sb 2.97
Sb: 0.6661 0.6661 0.0017  6 Tm 2.97-2.99

[5]
An optimized crystal structure of Mn2SiPt. Source: the Alexandria database, functional PBE-GGA.

The density of states at the Fermi level comes out at 3.02 states/eV per cell. As for the volume: 13.1 Å³/atom. The value obtained for the uncorrected formation energy is -1.1 eV per formula unit. For the final energy, the calculation gives -7.722 eV per atom. The crystal system is monoclinic.

Unit cell a=3.6866 b=2.7004 c=5.8270 alpha=64.78 beta=90.00 gamma=90.00
Closest atoms and distances in Å follow each position.
Sites, in units of the cell vectors:
Mn: 0.0000 0.9922 0.9822  3 Mn 2.46-2.70, 4 Si 2.53-2.66, 4 Pt 2.68-2.69
Mn: 0.0000 0.5078 0.5178  3 Mn 2.46-2.70, 4 Si 2.53-2.66, 4 Pt 2.68-2.69
Pt: 0.5000 0.2500 0.2500  2 Si 2.64, 8 Mn 2.68-2.69, 2 Pt 2.70
Si: 0.5000 0.7500 0.7500  8 Mn 2.53-2.66, 2 Pt 2.64, 2 Si 2.70

[6]
An optimized crystal structure of CaAuSe2. Source: the Alexandria database, functional PBE-GGA.

The density of states at the Fermi level comes out at 2.76 states/eV per cell. As for the volume: 26.1 Å³/atom. The value obtained for the uncorrected formation energy is -2.7 eV per formula unit. The energy above the most stable polymorph in this dataset is 0.89 eV/f.u. For the final energy, the calculation gives -3.746 eV per atom. The crystal system is trigonal.

Unit cell a=6.5927 b=6.5927 c=6.5927 alpha=39.50 beta=39.50 gamma=39.50
Closest atoms and distances in Å follow each position.
Sites, in units of the cell vectors:
Ca: 0.7492 0.7492 0.7492  3 Se 2.85
Au: 0.5424 0.5424 0.5424  3 Se 2.59
Se: 0.0150 0.0150 0.0150  3 Ca 2.85
Se: 0.1935 0.1935 0.1935  3 Au 2.59